[1]
Material: AlSiAu2
Method: DFT, PBE
State: optimized geometry

* formation energy without anion corrections: -0.06 eV/atom

Lattice parameters (Å, degrees): 9.541 3.271 4.407 90.00 92.72 90.00
Space group Cm (No. 8)
Asymmetric unit:
Al 0.000 0.000 0.000 (multiplicity 2)
Si 0.245 0.000 0.711 (multiplicity 2)
Au 0.239 0.500 0.196 (multiplicity 2)
Au 0.486 0.000 0.506 (multiplicity 2)

[2]
Material: Al2SiAu
Method: DFT, PBE
State: optimized geometry

* formation energy without anion corrections: 0.19 eV/atom

Lattice parameters (Å, degrees): 6.491 6.491 6.491 90.00 90.00 90.00
Space group F-43m (No. 216)
Asymmetric unit:
Al 0.000 0.000 0.000 (multiplicity 4)
Al 0.250 0.250 0.250 (multiplicity 4)
Si 0.000 0.000 0.500 (multiplicity 4)
Au 0.250 0.250 0.750 (multiplicity 4)

[3]
Material: Al2SiAu2
Method: DFT, PBE
State: optimized geometry

* formation energy without anion corrections: 0.03 eV/atom

Lattice parameters (Å, degrees): 3.918 3.918 12.083 90.00 90.00 90.00
Space group I4/mmm (No. 139)
Asymmetric unit:
Al 0.000 0.500 0.250 (multiplicity 4)
Si 0.000 0.000 0.000 (multiplicity 2)
Au 0.000 0.000 0.387 (multiplicity 4)

[4]
Material: AlSiAu2
Method: DFT, PBE
State: optimized geometry

* formation energy without anion corrections: -0.02 eV/atom

Lattice parameters (Å, degrees): 3.3979 3.3979 21.8345 90.00 90.00 120.00
Space group R3m (No. 160, hexagonal axes)
Asymmetric unit:
Al 0.0000 0.0000 0.0000 (multiplicity 3)
Si 0.0000 0.0000 0.2480 (multiplicity 3)
Au 0.0000 0.0000 0.5089 (multiplicity 3)
Au 0.0000 0.0000 0.7442 (multiplicity 3)

[5]
Material: AlSiAu2
Method: DFT, PBE
State: optimized geometry

* formation energy without anion corrections: 0.05 eV/atom

Lattice parameters (Å, degrees): 4.464 4.464 3.440 90.00 90.00 90.00
Space group P4/mmm (No. 123)
Asymmetric unit:
Al 0.000 0.000 0.000 (multiplicity 1)
Si 0.500 0.500 0.000 (multiplicity 1)
Au 0.000 0.500 0.500 (multiplicity 2)

[6]
Material: AlSiAu2
Method: DFT, PBE
State: optimized geometry

* formation energy without anion corrections: 0.07 eV/atom

Lattice parameters (Å, degrees): 4.088 4.221 4.326 90.00 96.38 90.00
Space group P2/m (No. 10)
Asymmetric unit:
Al 0.000 0.000 0.000 (multiplicity 1)
Si 0.500 0.000 0.500 (multiplicity 1)
Au 0.256 0.500 0.745 (multiplicity 2)

[7]
Material: Al2SiAu
Method: DFT, PBE
State: optimized geometry

* formation energy without anion corrections: -0.01 eV/atom

Lattice parameters (Å, degrees): 8.274 3.090 5.500 90.00 105.10 90.00
Space group C2/m (No. 12)
Asymmetric unit:
Al 0.248 0.000 0.257 (multiplicity 4)
Si 0.000 0.500 0.000 (multiplicity 2)
Au 0.000 0.000 0.500 (multiplicity 2)

[8]
Material: Al2SiAu2
Method: DFT, PBE
State: optimized geometry

* formation energy without anion corrections: 0.04 eV/atom

Lattice parameters (Å, degrees): 7.571 7.571 3.093 90.00 90.00 90.00
Space group P4/mbm (No. 127)
Asymmetric unit:
Al 0.164 0.336 0.000 (multiplicity 4)
Si 0.000 0.000 0.000 (multiplicity 2)
Au 0.135 0.635 0.500 (multiplicity 4)

no.,calculated total energy (eV per atom)
1,-3.9887
2,-3.8541
3,-3.8644
4,-3.9497
5,-3.8775
6,-3.8594
7,-4.0551
8,-3.8523